A geometry-optimized In4I2BrCl structure. Source: the Alexandria database, functional PBE.

E_tot (eV for the cell shown): -44.51
Theoretical density (g cm⁻³): 4.39
Space-group type: No. 15
Spin magnetization (μB/f.u.): 0.000

Structure (POSCAR):
```
In4I2BrCl
1.0
6.7875 -6.8017 0.0000
6.7875 6.8017 0.0000
-6.7594 0.0000 6.7927
In I Br Cl
8 4 2 2
direct
0.2270 0.2379 0.4840
0.2379 0.2270 0.9840
0.2393 0.7601 0.5106
0.2399 0.7607 0.9894
0.7601 0.2393 0.0106
0.7607 0.2399 0.4894
0.7621 0.7730 0.0160
0.7730 0.7621 0.5160
0.0000 0.5000 0.0000
0.5000 0.0000 0.5000
0.5000 0.5000 0.0000
0.5000 0.5000 0.5000
0.0000 0.5000 0.5000
0.5000 0.0000 0.0000
0.0000 0.0000 0.0000
0.0000 0.0000 0.5000
```